Record 1
VASP calculation (PBE-GGA) on a geometry-optimized NaYW2 structure.

POSCAR file:
```
NaYW2
1.0
-2.7282 2.7319 -0.6893
-2.0741 -2.5967 -2.0826
-7.5873 -2.8809 7.4553
Y W Na
2 4 2
direct
0.0000 0.0000 0.0000 Y
0.7500 0.2500 0.5000 Y
0.8750 0.3635 0.7500 W
0.3750 0.8865 0.7500 W
0.6365 0.6250 0.2500 W
0.1135 0.1250 0.2500 W
0.2500 0.7500 0.5000 Na
0.5000 0.5000 0.0000 Na
```

Calculated values
VASP energy = -58.10 eV per cell
E_form = 1159 meV/atom
Symmetry = I-42d
N(E_F) = 0.2709 states/eV/atom


Record 2
VASP calculation (PBE-GGA) on a geometry-optimized TaCu2Au structure.

POSCAR file:
```
TaCu2Au
1.0
4.3716 0.0000 0.0000
0.0000 2.6835 -0.0404
0.0000 0.0985 5.2898
Cu Ta Au
2 1 1
direct
0.0000 0.7424 0.4785 Cu
0.0000 0.7576 0.0215 Cu
0.5000 0.2500 0.2500 Ta
0.5000 0.7500 0.7500 Au
```

Calculated values
VASP energy = -22.95 eV per cell
E_form = 92 meV/atom
Symmetry = P2/m
N(E_F) = 0.4100 states/eV/atom


| no. | volume (Å³/cell) |
| --- | --- |
| 1 | 164.1 |
| 2 | 62.1 |